(1)
DyPuMg2N4: relaxed, PBE.

Cell: 3.389 5.821 5.548 Å, 109.83 90.00 90.00°
Site moments in Bohr magnetons follow the coordinates.
Fractional positions:
N 0.500 0.758 0.751  -0.13
N 0.000 0.229 0.765  -0.12
N 0.000 0.771 0.235  -0.12
N 0.500 0.242 0.249  -0.13
Mg 0.000 0.500 0.500  -0.01
Pu 0.000 0.000 0.000  3.56
Dy 0.500 0.500 0.000  0.02
Mg 0.500 0.000 0.500  0.00

Symmetry: P2/m
Crystal system: monoclinic



(2)
Dy2PuMgN4: relaxed, PBE.

Cell: 3.460 5.786 5.845 Å, 107.96 90.00 90.00°
Site moments in Bohr magnetons follow the coordinates.
Fractional positions:
Mg 0.000 0.000 0.000  0.00
N 0.000 0.749 0.245  -0.11
Dy 0.500 0.000 0.500  0.08
N 0.500 0.736 0.760  -0.11
N 0.500 0.264 0.240  -0.11
N 0.000 0.251 0.755  -0.11
Pu 0.500 0.500 0.000  4.15
Dy 0.000 0.500 0.500  0.09

Symmetry: P2/m
Crystal system: monoclinic



(3)
SmDy2MgN: relaxed, PBE.

Cell: 5.034 4.857 4.857 Å, 90.00 90.00 90.00°
Fractional positions:
Sm 0.500 0.000 0.000
Dy 0.000 0.000 0.500
N 0.000 0.000 0.000
Dy 0.000 0.500 0.000
Mg 0.500 0.500 0.500

Symmetry: P4/mmm
Crystal system: tetragonal



(4)
Dy2Mg3TaN6: relaxed, PBE.

Cell: 5.736 5.736 5.506 Å, 99.84 99.84 120.20°
Fractional positions:
N 0.615 0.920 0.755
N 0.080 0.385 0.245
Mg 0.500 0.500 0.500
N 0.771 0.771 0.236
N 0.385 0.080 0.245
Mg 0.158 0.842 0.500
Dy 0.667 0.333 0.000
N 0.920 0.615 0.755
Dy 0.333 0.667 0.000
Mg 0.842 0.158 0.500
Ta 0.000 0.000 0.000
N 0.229 0.229 0.764

Symmetry: C2/m
Crystal system: monoclinic



(5)
DyMg2TaN4: relaxed, PBE.

Cell: 5.260 6.094 7.206 Å, 90.00 90.00 90.00°
Fractional positions:
N 0.919 0.863 0.000
Mg 0.486 0.334 0.251
Ta 0.494 0.817 0.500
Dy 0.475 0.833 0.000
Dy 0.975 0.167 0.500
Ta 0.994 0.183 0.000
N 0.888 0.334 0.773
N 0.364 0.190 0.000
Mg 0.486 0.334 0.749
N 0.388 0.666 0.273
N 0.888 0.334 0.227
N 0.864 0.810 0.500
N 0.419 0.137 0.500
N 0.388 0.666 0.727
Mg 0.986 0.666 0.751
Mg 0.986 0.666 0.249

Symmetry: Pmn2_1
Crystal system: orthorhombic



(6)
Tb2DyMgN: relaxed, PBE.

Cell: 4.856 4.906 4.906 Å, 90.00 90.00 90.00°
Fractional positions:
Tb 0.000 0.000 0.500
Dy 0.500 0.000 0.000
Mg 0.500 0.500 0.500
Tb 0.000 0.500 0.000
N 0.000 0.000 0.000

Symmetry: P4/mmm
Crystal system: tetragonal



(7)
TbDy2MgN: relaxed, PBE.

Cell: 4.910 4.865 4.865 Å, 90.00 90.00 90.00°
Fractional positions:
Dy 0.000 0.000 0.500
N 0.000 0.000 0.000
Dy 0.000 0.500 0.000
Mg 0.500 0.500 0.500
Tb 0.500 0.000 0.000

Symmetry: P4/mmm
Crystal system: tetragonal



(8)
DyMgTcN3: relaxed, PBE.

Cell: 3.172 5.708 8.516 Å, 110.75 90.00 90.00°
Fractional positions:
Mg 0.250 0.721 0.076
N 0.250 0.478 0.821
N 0.750 0.522 0.179
Dy 0.750 0.682 0.711
Tc 0.750 0.872 0.381
Dy 0.250 0.318 0.289
N 0.250 0.738 0.489
Mg 0.750 0.279 0.924
N 0.250 0.012 0.818
N 0.750 0.262 0.511
N 0.750 0.988 0.182
Tc 0.250 0.128 0.619

Symmetry: P2_1/m
Crystal system: monoclinic



| no. | calculated density (g/cm3) | D(E_F) (states/eV per cell) | E_form (uncorrected) (eV/atom) |
| --- | --- | --- | --- |
| 1 | 8.25 | 4.53 | -1.080 |
| 2 | 9.68 | 5.16 | -1.308 |
| 3 | 7.18 | 5.05 | -0.683 |
| 4 | 7.48 | 6.96 | -1.085 |
| 5 | 6.44 | 0.00 | -1.226 |
| 6 | 7.37 | 5.48 | -0.699 |
| 7 | 7.46 | 5.49 | -0.703 |
| 8 | 7.53 | 1.05 | -0.751 |